[1]
# Mg6CdPt

A geometry-optimized Mg6CdPt structure (PBE, the Alexandria database).

Results
Its space-group type is No. 166. The formation enthalpy at 0 K is -2.07 eV/f.u. The calculation puts the relative energy among the computed polymorphs at 0 meV/atom.

Cell lengths 8.318, 8.318, 8.318 Å; angles 33.45, 33.45, 33.45 degrees
Positions (direct):
Mg: 0.118 0.118 0.118
Mg: 0.251 0.251 0.251
Mg: 0.370 0.370 0.370
Mg: 0.630 0.630 0.630
Mg: 0.749 0.749 0.749
Mg: 0.882 0.882 0.882
Cd: 0.500 0.500 0.500
Pt: 0.000 0.000 0.000



[2]
# BaZrCuS3

A geometry-optimized BaZrCuS3 structure (PBE, the Alexandria database).

Results
Its space-group type is No. 12. Its formation energy (no corrections) is -1.139 eV/atom.

Cell lengths 7.619, 7.619, 7.487 Å; angles 110.88, 110.88, 59.93 degrees
Positions (direct):
Ba: 0.218 0.218 0.199
Ba: 0.782 0.782 0.801
Zr: 0.469 0.469 0.772
Zr: 0.531 0.531 0.228
Cu: 0.240 0.760 0.500
Cu: 0.760 0.240 0.500
S: 0.156 0.682 0.182
S: 0.272 0.272 0.642
S: 0.318 0.844 0.818
S: 0.682 0.156 0.182
S: 0.728 0.728 0.358
S: 0.844 0.318 0.818